A relaxed structure of LiCaAu2, computed with GGA-PBE.

Output
Symmetry = R3m

Cell: 7.1476 7.1476 7.1476 Å, 32.47 32.47 32.47°
Fractional positions:
Li 0.0000 0.0000 0.0000
Ca 0.8300 0.8300 0.8300
Au 0.2612 0.2612 0.2612
Au 0.4005 0.4005 0.4005

A relaxed structure of Li5CaAu2, computed with GGA-PBE.

Output
Symmetry = Immm

Cell: 6.6639 6.6639 6.6639 Å, 143.68 105.46 85.86°
Fractional positions:
Li 0.0000 0.0000 0.0000
Li 0.0175 0.3360 0.6815
Li 0.3454 0.6640 0.6815
Li 0.6546 0.3360 0.3185
Li 0.9825 0.6640 0.3185
Ca 0.5000 0.0000 0.5000
Au 0.2660 0.2660 0.0000
Au 0.7340 0.7340 0.0000

A relaxed structure of Li2CaAu, computed with GGA-PBE.

Output
Polymorph energy (0 for the lowest one) = 115.4 meV/atom
Symmetry = Fm-3m

Cell: 4.8112 4.8112 4.8112 Å, 60.00 60.00 60.00°
Fractional positions:
Li 0.2500 0.2500 0.2500
Li 0.7500 0.7500 0.7500
Ca 0.0000 0.0000 0.0000
Au 0.5000 0.5000 0.5000

A relaxed structure of Li2CaAu8, computed with GGA-PBE.

Output
Symmetry = C2/m

Cell: 7.8636 7.8636 6.7470 Å, 106.62 106.62 29.90°
Fractional positions:
Li 0.2227 0.2227 0.1473
Li 0.7773 0.7773 0.8527
Ca 0.5000 0.5000 0.5000
Au 0.0506 0.0506 0.2152
Au 0.1488 0.1488 0.7069
Au 0.3162 0.3162 0.5859
Au 0.3972 0.3972 0.0407
Au 0.6028 0.6028 0.9593
Au 0.6838 0.6838 0.4141
Au 0.8512 0.8512 0.2931
Au 0.9494 0.9494 0.7848

A relaxed structure of Li3CaAu3, computed with GGA-PBE.

Output
Polymorph energy (0 for the lowest one) = 0.0 meV/atom
Symmetry = R-3

Cell: 7.7759 7.7759 7.7759 Å, 53.17 53.17 53.17°
Fractional positions:
Li 0.0650 0.5892 0.2381
Li 0.2381 0.0650 0.5892
Li 0.4108 0.7619 0.9350
Li 0.5892 0.2381 0.0650
Li 0.7619 0.9350 0.4108
Li 0.9350 0.4108 0.7619
Ca 0.1600 0.1600 0.1600
Ca 0.8400 0.8400 0.8400
Au 0.1909 0.6703 0.4312
Au 0.3297 0.5688 0.8091
Au 0.4312 0.1909 0.6703
Au 0.5688 0.8091 0.3297
Au 0.6703 0.4312 0.1909
Au 0.8091 0.3297 0.5688

A relaxed structure of Li2CaAu, computed with GGA-PBE.

Output
Polymorph energy (0 for the lowest one) = 69.4 meV/atom
Symmetry = Immm

Cell: 5.8096 5.8096 5.8096 Å, 143.45 130.39 63.17°
Fractional positions:
Li 0.2120 0.2120 0.0000
Li 0.7880 0.7880 0.0000
Ca 0.5000 0.0000 0.5000
Au 0.0000 0.5000 0.5000

| no. | energy relative to the elements (eV per atom) | calculated total energy (eV per atom) |
| --- | --- | --- |
| 1 | -0.536 | -3.153 |
| 2 | -0.408 | -2.674 |
| 3 | -0.334 | -2.610 |
| 4 | -0.417 | -3.331 |
| 5 | -0.489 | -3.000 |
| 6 | -0.380 | -2.656 |